Entry 1:
VASP calculation (PBE-GGA) on an optimized crystal structure of NdEr3Te.

* ρ: 7.8 g/cm³
* DOS(E_F): 6.38 states/eV/f.u.
* magnetic moment: 0.0 μB per formula unit

a b c (Å): 7.817 7.817 7.393
angles (deg): 104.28 119.23 107.75
Fractional coordinates of all 10 atoms:
Te (0.622, 0.730, 0.352)
Te (0.378, 0.270, 0.648)
Er (0.839, 0.052, 0.262)
Er (0.789, 0.576, 0.738)
Er (0.211, 0.424, 0.262)
Er (0.161, 0.948, 0.738)
Er (0.763, 0.444, 0.207)
Nd (0.702, 0.065, 0.768)
Nd (0.298, 0.935, 0.232)
Er (0.237, 0.556, 0.793)

---

Entry 2:
VASP calculation (PBE-GGA) on an optimized crystal structure of NdErTe.

* ρ: 7.7 g/cm³
* DOS(E_F): 3.13 states/eV/f.u.
* distance to the lowest polymorph of the same formula: 18 meV/atom
* magnetic moment: 0.0 μB per formula unit

a b c (Å): 4.017 11.187 8.655
angles (deg): 92.55 103.42 90.00
Fractional coordinates of all 12 atoms:
Er (0.193, 0.082, 0.387)
Er (0.749, 0.336, 0.499)
Nd (0.385, 0.158, 0.770)
Te (0.379, 0.458, 0.759)
Te (0.574, 0.153, 0.147)
Te (0.621, 0.542, 0.241)
Nd (0.615, 0.842, 0.230)
Er (0.807, 0.918, 0.613)
Te (0.426, 0.847, 0.853)
Nd (0.975, 0.649, 0.951)
Er (0.251, 0.664, 0.501)
Nd (0.025, 0.351, 0.049)

---

Entry 3:
VASP calculation (PBE-GGA) on an optimized crystal structure of NdEr6Te8.

* ρ: 7.9 g/cm³
* DOS(E_F): 9.21 states/eV/f.u.
* distance to the lowest polymorph of the same formula: 139 meV/atom
* magnetic moment: 0.0 μB per formula unit

a b c (Å): 8.134 8.134 8.134
angles (deg): 69.42 69.42 69.42
Fractional coordinates of all 15 atoms:
Er (0.923, 0.549, 0.307)
Te (0.374, 0.103, 0.808)
Te (0.676, 0.676, 0.676)
Er (0.077, 0.451, 0.693)
Te (0.897, 0.192, 0.626)
Nd (0.000, 0.000, 0.000)
Er (0.693, 0.077, 0.451)
Te (0.626, 0.897, 0.192)
Te (0.324, 0.324, 0.324)
Te (0.192, 0.626, 0.897)
Er (0.307, 0.923, 0.549)
Er (0.451, 0.693, 0.077)
Te (0.103, 0.808, 0.374)
Er (0.549, 0.307, 0.923)
Te (0.808, 0.374, 0.103)

---

Computed values of formation energy from raw total energies (unit: meV per atom) for the preceding records, in sequence: -307, -755, -1185.